Computed, not measured: an optimized crystal structure of Na2LiGe4Pd3 at the PBE-GGA level of DFT.

Summary:
For the density, the calculation gives 5.7 g/cm3. Its energy of formation is -283 kJ/mol of formula units. As for the size of the total moment: 0.000 μB per cell. Its density of states at the Fermi level is 5.89 states/eV/f.u.

Cell lengths 4.270, 4.270, 10.504 Å; angles 90.00, 90.00, 90.00 degrees
Element x y z (fractional)
Na 0.000 0.500 0.244
Na 0.500 0.000 0.756
Li 0.500 0.500 0.000
Ge 0.000 0.000 0.500
Ge 0.000 0.500 0.871
Ge 0.500 0.000 0.129
Ge 0.500 0.500 0.500
Pd 0.000 0.000 0.000
Pd 0.000 0.500 0.636
Pd 0.500 0.000 0.364